(1)
{
  "formula": "Ca2LaNbI",
  "functional": "meta-GGA SCAN",
  "state": "PBEsol geometry",
  "final_energy_ev_per_cell": -127.87,
  "crystal_system": "tetragonal",
  "formation_energy_uncorrected_ev_per_atom": 0.887,
  "n_ef_per_ev_cell": 4.11,
  "magnetic_moment_mub_per_fu": 0.44,
  "lattice_angstrom": [[4.8168, 0.0000, 0.0000], [0.0000, 6.1412, 0.0000], [0.0000, 0.0000, 6.1412]],
  "species": ["Ca", "Ca", "I", "Nb", "La"],
  "frac_coords": [[0.0000, 0.0000, 0.5000], [0.0000, 0.5000, 0.0000], [0.5000, 0.5000, 0.5000], [0.5000, 0.0000, 0.0000], [0.0000, 0.0000, 0.0000]]
}

(2)
{
  "formula": "Li2Ca2I",
  "functional": "meta-GGA SCAN",
  "state": "PBEsol geometry",
  "final_energy_ev_per_cell": -62.43,
  "crystal_system": "tetragonal",
  "formation_energy_uncorrected_ev_per_atom": -0.317,
  "n_ef_per_ev_cell": 2.51,
  "magnetic_moment_mub_per_fu": 0.02,
  "lattice_angstrom": [[-1.4545, 3.2863, -1.4271], [1.1564, -1.0272, -3.5439], [-8.3653, -5.5482, 0.9880]],
  "species": ["Li", "Li", "I", "Ca", "Ca"],
  "frac_coords": [[0.7500, 0.2500, 0.5000], [0.2500, 0.7500, 0.5000], [0.0000, 0.0000, 0.0000], [0.6096, 0.6096, 0.2192], [0.3904, 0.3904, 0.7808]]
}

(3)
{
  "formula": "Li3CaI",
  "functional": "meta-GGA SCAN",
  "state": "PBEsol geometry",
  "final_energy_ev_per_cell": -54.38,
  "crystal_system": "cubic",
  "formation_energy_uncorrected_ev_per_atom": -0.161,
  "n_ef_per_ev_cell": 3.54,
  "magnetic_moment_mub_per_fu": 0.00,
  "lattice_angstrom": [[-2.7487, -4.5497, 0.7637], [4.6070, -2.7537, 0.1759], [0.2426, 0.7452, 5.3126]],
  "species": ["Li", "Li", "Li", "I", "Ca"],
  "frac_coords": [[0.0000, 0.0000, 0.5000], [0.0000, 0.5000, 0.0000], [0.5000, 0.0000, 0.0000], [0.0000, 0.0000, 0.0000], [0.5000, 0.5000, 0.5000]]
}

(4)
{
  "formula": "LiCaI3",
  "functional": "meta-GGA SCAN",
  "state": "PBEsol geometry",
  "final_energy_ev_per_cell": -128.01,
  "crystal_system": "cubic",
  "formation_energy_uncorrected_ev_per_atom": -1.147,
  "n_ef_per_ev_cell": 0.00,
  "magnetic_moment_mub_per_fu": 0.00,
  "lattice_angstrom": [[-0.8986, -1.1666, 5.2342], [1.0742, -5.2388, -0.9832], [5.2539, 0.8716, 1.0963]],
  "species": ["I", "I", "I", "Ca", "Li"],
  "frac_coords": [[0.5000, 0.0000, 0.0000], [0.0000, 0.0000, 0.5000], [0.0000, 0.5000, 0.0000], [0.5000, 0.5000, 0.5000], [0.0000, 0.0000, 0.0000]]
}

(5)
{
  "formula": "CaMgI2",
  "functional": "meta-GGA SCAN",
  "state": "PBEsol geometry",
  "final_energy_ev_per_cell": -90.98,
  "crystal_system": "cubic",
  "formation_energy_uncorrected_ev_per_atom": -0.714,
  "n_ef_per_ev_cell": 0.38,
  "magnetic_moment_mub_per_fu": 0.00,
  "lattice_angstrom": [[-4.5781, 0.6800, 3.0790], [-4.9761, 0.3366, -2.4550], [-3.6437, -4.1659, 0.5205]],
  "species": ["I", "I", "Ca", "Mg"],
  "frac_coords": [[0.2500, 0.2500, 0.2500], [0.7500, 0.7500, 0.7500], [0.5000, 0.5000, 0.5000], [0.0000, 0.0000, 0.0000]]
}

(6)
{
  "formula": "CaMnIN2",
  "functional": "meta-GGA SCAN",
  "state": "PBEsol geometry",
  "final_energy_ev_per_cell": -77.90,
  "crystal_system": "tetragonal",
  "formation_energy_uncorrected_ev_per_atom": 1.069,
  "n_ef_per_ev_cell": 3.18,
  "magnetic_moment_mub_per_fu": 8.71,
  "lattice_angstrom": [[-3.0174, 2.6634, 1.7613], [-2.0498, -3.4738, 1.7413], [3.3558, 0.5128, 4.9736]],
  "species": ["Mn", "I", "N", "N", "Ca"],
  "frac_coords": [[0.5000, 0.5000, 0.5000], [0.0000, 0.0000, 0.5000], [0.5000, 0.0000, 0.0000], [0.0000, 0.5000, 0.0000], [0.0000, 0.0000, 0.0000]]
}

(7)
{
  "formula": "CaMn2RuI",
  "functional": "meta-GGA SCAN",
  "state": "PBEsol geometry",
  "final_energy_ev_per_cell": -109.66,
  "crystal_system": "tetragonal",
  "formation_energy_uncorrected_ev_per_atom": 1.616,
  "n_ef_per_ev_cell": 4.34,
  "magnetic_moment_mub_per_fu": 9.88,
  "lattice_angstrom": [[-1.7909, -4.1359, 0.6799], [2.6987, -0.4544, 4.3442], [-3.8741, 2.1094, 2.6273]],
  "species": ["Mn", "Mn", "I", "Ca", "Ru"],
  "frac_coords": [[0.0000, 0.0000, 0.5000], [0.0000, 0.5000, 0.0000], [0.5000, 0.5000, 0.5000], [0.0000, 0.0000, 0.0000], [0.5000, 0.0000, 0.0000]]
}

(8)
{
  "formula": "CaTa2MnI",
  "functional": "meta-GGA SCAN",
  "state": "PBEsol geometry",
  "final_energy_ev_per_cell": -194.04,
  "crystal_system": "tetragonal",
  "formation_energy_uncorrected_ev_per_atom": 0.757,
  "n_ef_per_ev_cell": 3.50,
  "magnetic_moment_mub_per_fu": 0.00,
  "lattice_angstrom": [[-2.8955, 3.4331, -0.4895], [-3.3574, -2.6156, 1.5154], [1.0977, 1.6879, 5.3453]],
  "species": ["Mn", "I", "Ta", "Ta", "Ca"],
  "frac_coords": [[0.0000, 0.0000, 0.0000], [0.5000, 0.5000, 0.5000], [0.0000, 0.5000, 0.0000], [0.5000, 0.0000, 0.0000], [0.0000, 0.0000, 0.5000]]
}

(9)
{
  "formula": "CaMnTeI2",
  "functional": "meta-GGA SCAN",
  "state": "PBEsol geometry",
  "final_energy_ev_per_cell": -142.27,
  "crystal_system": "tetragonal",
  "formation_energy_uncorrected_ev_per_atom": -0.723,
  "n_ef_per_ev_cell": 0.51,
  "magnetic_moment_mub_per_fu": 4.96,
  "lattice_angstrom": [[5.4013, 0.0000, 0.0000], [0.0000, 5.4013, 0.0000], [0.0000, 0.0000, 5.5208]],
  "species": ["I", "I", "Te", "Ca", "Mn"],
  "frac_coords": [[0.5000, 0.0000, 0.0000], [0.0000, 0.5000, 0.0000], [0.0000, 0.0000, 0.5000], [0.5000, 0.5000, 0.5000], [0.0000, 0.0000, 0.0000]]
}

(10)
{
  "formula": "CaPI2N",
  "functional": "meta-GGA SCAN",
  "state": "PBEsol geometry",
  "final_energy_ev_per_cell": -99.93,
  "crystal_system": "tetragonal",
  "formation_energy_uncorrected_ev_per_atom": 0.581,
  "n_ef_per_ev_cell": 4.01,
  "magnetic_moment_mub_per_fu": 4.65,
  "lattice_angstrom": [[-2.0928, 3.6629, -1.7405], [-4.5741, -0.7959, 3.8250], [2.7666, 3.4987, 4.0364]],
  "species": ["I", "I", "N", "Ca", "P"],
  "frac_coords": [[0.0000, 0.5000, 0.0000], [0.0000, 0.0000, 0.5000], [0.5000, 0.0000, 0.0000], [0.0000, 0.0000, 0.0000], [0.5000, 0.5000, 0.5000]]
}

(11)
{
  "formula": "CaPbI2N",
  "functional": "meta-GGA SCAN",
  "state": "PBEsol geometry",
  "final_energy_ev_per_cell": -168.27,
  "crystal_system": "tetragonal",
  "formation_energy_uncorrected_ev_per_atom": -0.011,
  "n_ef_per_ev_cell": 2.69,
  "magnetic_moment_mub_per_fu": 1.22,
  "lattice_angstrom": [[-4.1055, -1.4360, 0.4653], [1.4731, -2.5136, 5.2403], [-1.4529, 5.0751, 2.8428]],
  "species": ["Pb", "I", "I", "Ca", "N"],
  "frac_coords": [[0.5000, 0.5000, 0.5000], [0.0000, 0.5000, 0.0000], [0.0000, 0.0000, 0.5000], [0.0000, 0.0000, 0.0000], [0.5000, 0.0000, 0.0000]]
}

(12)
{
  "formula": "CaPtIN2",
  "functional": "meta-GGA SCAN",
  "state": "PBEsol geometry",
  "final_energy_ev_per_cell": -131.82,
  "crystal_system": "tetragonal",
  "formation_energy_uncorrected_ev_per_atom": 0.672,
  "n_ef_per_ev_cell": 2.88,
  "magnetic_moment_mub_per_fu": 0.00,
  "lattice_angstrom": [[3.9356, 0.0000, 0.0000], [0.0000, 3.9356, 0.0000], [0.0000, 0.0000, 6.5846]],
  "species": ["N", "N", "Ca", "I", "Pt"],
  "frac_coords": [[0.5000, 0.0000, 0.0000], [0.0000, 0.5000, 0.0000], [0.5000, 0.5000, 0.5000], [0.0000, 0.0000, 0.5000], [0.0000, 0.0000, 0.0000]]
}

(13)
{
  "formula": "CaRuI2N",
  "functional": "meta-GGA SCAN",
  "state": "PBEsol geometry",
  "final_energy_ev_per_cell": -128.68,
  "crystal_system": "tetragonal",
  "formation_energy_uncorrected_ev_per_atom": -0.284,
  "n_ef_per_ev_cell": 2.61,
  "magnetic_moment_mub_per_fu": 0.00,
  "lattice_angstrom": [[-1.1744, -3.4975, -0.5716], [4.7770, -1.9461, 2.0929], [-2.2586, -0.0730, 5.0873]],
  "species": ["I", "I", "N", "Ca", "Ru"],
  "frac_coords": [[0.0000, 0.0000, 0.5000], [0.0000, 0.5000, 0.0000], [0.5000, 0.0000, 0.0000], [0.5000, 0.5000, 0.5000], [0.0000, 0.0000, 0.0000]]
}

(14)
{
  "formula": "CaSIN2",
  "functional": "meta-GGA SCAN",
  "state": "PBEsol geometry",
  "final_energy_ev_per_cell": -71.13,
  "crystal_system": "tetragonal",
  "formation_energy_uncorrected_ev_per_atom": 0.697,
  "n_ef_per_ev_cell": 1.63,
  "magnetic_moment_mub_per_fu": 0.00,
  "lattice_angstrom": [[-3.8795, -1.1910, -0.0494], [1.1065, -3.5354, -1.6577], [0.5713, -2.0587, 4.7720]],
  "species": ["I", "S", "N", "N", "Ca"],
  "frac_coords": [[0.0000, 0.0000, 0.0000], [0.0000, 0.0000, 0.5000], [0.5000, 0.0000, 0.0000], [0.0000, 0.5000, 0.0000], [0.5000, 0.5000, 0.5000]]
}

(15)
{
  "formula": "CaSbIN2",
  "functional": "meta-GGA SCAN",
  "state": "PBEsol geometry",
  "final_energy_ev_per_cell": -96.62,
  "crystal_system": "tetragonal",
  "formation_energy_uncorrected_ev_per_atom": 1.125,
  "n_ef_per_ev_cell": 2.84,
  "magnetic_moment_mub_per_fu": 3.00,
  "lattice_angstrom": [[-1.6341, 3.8516, -1.8975], [1.2811, -1.5005, -4.1489], [-5.2859, -2.5859, -0.6969]],
  "species": ["Sb", "N", "N", "I", "Ca"],
  "frac_coords": [[0.5000, 0.5000, 0.5000], [0.5000, 0.0000, 0.0000], [0.0000, 0.5000, 0.0000], [0.0000, 0.0000, 0.5000], [0.0000, 0.0000, 0.0000]]
}

(16)
{
  "formula": "CaYIN2",
  "functional": "meta-GGA SCAN",
  "state": "PBEsol geometry",
  "final_energy_ev_per_cell": -89.93,
  "crystal_system": "tetragonal",
  "formation_energy_uncorrected_ev_per_atom": 0.581,
  "n_ef_per_ev_cell": 1.73,
  "magnetic_moment_mub_per_fu": 0.00,
  "lattice_angstrom": [[4.3796, 0.0000, 0.0000], [0.0000, 4.3796, 0.0000], [0.0000, 0.0000, 5.4738]],
  "species": ["Y", "N", "N", "Ca", "I"],
  "frac_coords": [[0.5000, 0.5000, 0.5000], [0.0000, 0.5000, 0.0000], [0.5000, 0.0000, 0.0000], [0.0000, 0.0000, 0.0000], [0.0000, 0.0000, 0.5000]]
}

(17)
{
  "formula": "NaCa3I",
  "functional": "meta-GGA SCAN",
  "state": "PBEsol geometry",
  "final_energy_ev_per_cell": -68.91,
  "crystal_system": "cubic",
  "formation_energy_uncorrected_ev_per_atom": 0.208,
  "n_ef_per_ev_cell": 3.51,
  "magnetic_moment_mub_per_fu": 0.00,
  "lattice_angstrom": [[-3.9561, 1.3713, 4.4184], [4.3772, -0.7725, 4.1589], [1.4976, 5.8801, -0.4841]],
  "species": ["Ca", "Ca", "Ca", "Na", "I"],
  "frac_coords": [[0.0000, 0.0000, 0.5000], [0.0000, 0.5000, 0.0000], [0.5000, 0.0000, 0.0000], [0.0000, 0.0000, 0.0000], [0.5000, 0.5000, 0.5000]]
}

(18)
{
  "formula": "CaNbI3",
  "functional": "meta-GGA SCAN",
  "state": "PBEsol geometry",
  "final_energy_ev_per_cell": -154.38,
  "crystal_system": "cubic",
  "formation_energy_uncorrected_ev_per_atom": -0.272,
  "n_ef_per_ev_cell": 3.14,
  "magnetic_moment_mub_per_fu": 3.31,
  "lattice_angstrom": [[5.5852, 0.0000, 0.0000], [0.0000, 5.5852, 0.0000], [0.0000, 0.0000, 5.5852]],
  "species": ["Nb", "I", "I", "I", "Ca"],
  "frac_coords": [[0.0000, 0.0000, 0.0000], [0.0000, 0.5000, 0.0000], [0.5000, 0.0000, 0.0000], [0.0000, 0.0000, 0.5000], [0.5000, 0.5000, 0.5000]]
}

(19)
{
  "formula": "CaNbIO2",
  "functional": "meta-GGA SCAN",
  "state": "PBEsol geometry",
  "final_energy_ev_per_cell": -93.57,
  "crystal_system": "tetragonal",
  "formation_energy_uncorrected_ev_per_atom": -0.314,
  "n_ef_per_ev_cell": 1.13,
  "magnetic_moment_mub_per_fu": 4.31,
  "lattice_angstrom": [[-3.9879, 1.4572, 0.3841], [-0.1302, -1.4157, 4.0191], [2.0345, 5.0788, 1.8549]],
  "species": ["I", "Nb", "Ca", "O", "O"],
  "frac_coords": [[0.0000, 0.0000, 0.5000], [0.5000, 0.5000, 0.5000], [0.0000, 0.0000, 0.0000], [0.5000, 0.0000, 0.0000], [0.0000, 0.5000, 0.0000]]
}

(20)
{
  "formula": "CaNbPtI2",
  "functional": "meta-GGA SCAN",
  "state": "PBEsol geometry",
  "final_energy_ev_per_cell": -186.86,
  "crystal_system": "tetragonal",
  "formation_energy_uncorrected_ev_per_atom": -0.078,
  "n_ef_per_ev_cell": 2.68,
  "magnetic_moment_mub_per_fu": 1.17,
  "lattice_angstrom": [[-2.5292, 0.2104, -4.2935], [-3.5023, -3.6777, 1.8829], [-3.0865, 3.9698, 2.0127]],
  "species": ["Pt", "Ca", "Nb", "I", "I"],
  "frac_coords": [[0.5000, 0.0000, 0.0000], [0.5000, 0.5000, 0.5000], [0.0000, 0.0000, 0.0000], [0.0000, 0.0000, 0.5000], [0.0000, 0.5000, 0.0000]]
}